Record 1
VASP calculation (PBE-GGA) on crystalline HfReMo14 at its relaxed geometry.

abc: 6.351 8.981 8.987
angles: 90.00 90.00 90.00
Space group Cmmm (No. 65)
Asymmetric unit:
1 Hf 0.000 0.000 0.000 (multiplicity 2)
2 Re 0.000 0.500 0.000 (multiplicity 2)
3 Mo 0.000 0.000 0.500 (multiplicity 2)
4 Mo 0.000 0.250 0.250 (multiplicity 8)
5 Mo 0.000 0.500 0.500 (multiplicity 2)
6 Mo 0.247 0.500 0.255 (multiplicity 8)
7 Mo 0.250 0.250 0.000 (multiplicity 4)
8 Mo 0.250 0.250 0.500 (multiplicity 4)

Summary:
The crystal system is orthorhombic. For the final energy, the calculation gives -349.196 eV/cell.



Record 2
VASP calculation (PBE-GGA) on crystalline HfRe2Mo at its relaxed geometry.

abc: 3.189 3.189 6.474
angles: 90.00 90.00 90.00
Space group P4/mmm (No. 123)
Asymmetric unit:
1 Hf 0.000 0.000 0.000 (multiplicity 1)
2 Re 0.500 0.500 0.263 (multiplicity 2)
3 Mo 0.000 0.000 0.500 (multiplicity 1)

Summary:
The crystal system is tetragonal. For the final energy, the calculation gives -46.502 eV/cell.